Material: LaHf2VO8
Method: DFT, PBE+U
State: relaxed

## Properties
SG: P2/m (10)
magnetic moment: 0.00 μB/f.u.
total DFT energy (no corrections): -107.17 eV per cell

a b c (Å): 4.899 4.890 6.599
angles (deg): 90.00 90.00 87.94
Element x y z (fractional)
O: 0.194 0.805 0.200
O: 0.806 0.195 0.800
O: 0.193 0.804 0.800
O: 0.704 0.705 0.000
O: 0.807 0.196 0.200
O: 0.296 0.295 0.000
O: 0.671 0.674 0.500
O: 0.329 0.326 0.500
V: 0.000 0.000 0.000
La: 0.000 0.000 0.500
Hf: 0.500 0.500 0.760
Hf: 0.500 0.500 0.240